The following is a DFT calculation (SCAN) of a PBEsol-optimized structure of CoNiAg2.

Calculated values
The value obtained for the total magnetization is 0.618 μB/atom. For the total energy, the calculation gives -23.744 eV/atom. As for the space group: Imm2 (44).

abc: 5.1642 5.1642 5.1642
angles: 149.15 128.79 60.99
Last column: nearest neighbours and their distance in Å.
Element x y z (fractional)
Co (0.0000, 0.0000, 0.0000)  2 Ni 2.32
Ni (0.7902, 0.2902, 0.5000)  2 Co 2.32
Ag (0.2591, 0.7591, 0.5000)  4 Ni 2.64, 2 Co 2.68, 4 Ag 2.75-2.82
Ag (0.5357, 0.5357, 0.0000)  4 Co 2.64, 2 Ni 2.65, 4 Ag 2.75-2.82